Density functional theory data (PBE with a Hubbard U) for crystalline Tl2FeF8 at its relaxed geometry.

Properties
- D(E_F): 1.57 states/eV per cell
- Uncorrected energy: -4.157 eV per atom
- Space group: No. 12

a b c (Å): 9.8267 9.8267 4.3921
angles (deg): 98.26 98.26 29.85
With the nearest neighbours (Å) after each atom.
Positions (direct):
Tl1 0.1716 0.1716 0.4581  5 F 2.13-2.21
Tl2 0.8284 0.8284 0.5419  5 F 2.13-2.21
Fe1 0.0000 0.0000 0.5000  4 F 1.98
F1 0.1726 0.6752 0.5722  1 Fe 1.98, 1 Tl 2.19
F2 0.1742 0.1742 0.9624  2 Tl 2.18-2.21
F3 0.2850 0.2850 0.5275  1 Tl 2.13
F4 0.3248 0.8274 0.4278  1 Fe 1.98, 1 Tl 2.19
F5 0.6752 0.1726 0.5722  1 Fe 1.98, 1 Tl 2.19
F6 0.7150 0.7150 0.4725  1 Tl 2.13
F7 0.8258 0.8258 0.0376  2 Tl 2.18-2.21
F8 0.8274 0.3248 0.4278  1 Fe 1.98, 1 Tl 2.19